[1]
Entry from Alexandria: Zn2TeW after structural relaxation (PBE).

Electronic total energy   -4.08 eV/atom

Geometry as CIF:
```
data_Zn2TeW
_cell_length_a 5.8096
_cell_length_b 8.6400
_cell_length_c 2.8532
_cell_angle_alpha 90.00
_cell_angle_beta 90.00
_cell_angle_gamma 90.00
_space_group_name_H-M_alt 'C m m m'
_space_group_IT_number 65
_space_group_name_Hall '-C 2 2'
loop_
_atom_site_label
_atom_site_fract_x
_atom_site_fract_y
_atom_site_fract_z
Zn1 0.2500 0.2500 0.0000
Te1 0.0000 0.0000 0.5000
W1 0.0000 0.5000 0.5000
```

---

[2]
Entry from Alexandria: TlBrO2F after structural relaxation (PBE).

Electronic total energy   -3.17 eV/atom

Geometry as CIF:
```
data_TlBrO2F
_cell_length_a 4.4479
_cell_length_b 4.4479
_cell_length_c 4.4121
_cell_angle_alpha 90.00
_cell_angle_beta 90.00
_cell_angle_gamma 90.00
_space_group_name_H-M_alt 'P 4/m m m'
_space_group_IT_number 123
_space_group_name_Hall '-P 4 2'
loop_
_atom_site_label
_atom_site_fract_x
_atom_site_fract_y
_atom_site_fract_z
Tl1 0.0000 0.0000 0.0000
Br1 0.5000 0.5000 0.5000
O1 0.0000 0.5000 0.0000
F1 0.0000 0.0000 0.5000
```

---

no.,total magnetic moment (μB/f.u.)
1,0.00
2,3.02